An optimized crystal structure of SmBeSiPt6, computed with GGA-PBE.

abc: 7.799 7.796 7.817
angles: 119.91 119.92 90.00
Positions (direct):
Pt1 0.132 0.887 0.743
Pt2 0.622 0.372 0.243
Pt3 0.378 0.628 0.757
Pt4 0.849 0.099 0.698
Pt5 0.612 0.887 0.743
Pt6 0.151 0.901 0.302
Pt7 0.388 0.644 0.257
Pt8 0.132 0.356 0.743
Pt9 0.868 0.644 0.257
Pt10 0.868 0.113 0.257
Pt11 0.388 0.113 0.257
Pt12 0.612 0.356 0.743
Si1 0.500 0.000 0.000
Si2 0.500 0.500 0.000
Sm1 0.101 0.351 0.201
Sm2 0.899 0.649 0.799
Be1 0.000 0.000 0.500
Be2 0.500 0.000 0.500

The value obtained for the density is 13.39 g/cm³. The value obtained for the energy relative to the elements, uncorrected is -0.55 eV/atom. The total DFT energy (no corrections) is -0.2250 hartree per atom.

***

An optimized crystal structure of Sm2BeSi3Pt4, computed with GGA-PBE.

abc: 4.195 4.195 9.867
angles: 90.00 90.00 90.00
Positions (direct):
Si1 0.000 0.000 0.500
Si2 0.500 0.000 0.864
Si3 0.000 0.500 0.136
Pt1 0.500 0.500 0.000
Pt2 0.000 0.000 0.000
Pt3 0.000 0.500 0.379
Pt4 0.500 0.000 0.621
Sm1 0.500 0.000 0.259
Sm2 0.000 0.500 0.741
Be1 0.500 0.500 0.500

The value obtained for the density is 11.23 g/cm³. The value obtained for the energy relative to the elements, uncorrected is -1.07 eV/atom. The total DFT energy (no corrections) is -0.2364 hartree per atom.

***

An optimized crystal structure of SrBeSiPt2, computed with GGA-PBE.

abc: 4.146 4.146 6.080
angles: 109.93 109.93 90.00
Positions (direct):
Be1 0.250 0.750 0.500
Sr1 0.000 0.000 0.000
Pt1 0.363 0.363 0.726
Pt2 0.637 0.637 0.274
Si1 0.750 0.250 0.500

The value obtained for the density is 9.34 g/cm³. The value obtained for the energy relative to the elements, uncorrected is -0.79 eV/atom. The total DFT energy (no corrections) is -0.1974 hartree per atom.

***

An optimized crystal structure of Sr2BeSiPt6, computed with GGA-PBE.

abc: 6.595 6.469 6.464
angles: 60.97 59.42 89.89
Positions (direct):
Pt1 0.163 0.257 0.092
Pt2 0.837 0.743 0.908
Pt3 0.743 0.256 0.094
Pt4 0.257 0.163 0.485
Pt5 0.257 0.744 0.906
Pt6 0.743 0.837 0.515
Sr1 0.707 0.293 0.586
Sr2 0.293 0.707 0.414
Be1 0.500 0.500 0.000
Si1 0.000 0.000 0.000

The value obtained for the density is 11.70 g/cm³. The value obtained for the energy relative to the elements, uncorrected is -0.75 eV/atom. The total DFT energy (no corrections) is -0.2069 hartree per atom.

***

Question: Number 4 is which compound?
Answer: Sr2BeSiPt6